[1]
# CrCuIr (GGA-PBE, relaxed)
data_CrCuIr
_chemical_formula_sum 'Cr2 Cu2 Ir2'
_cell_length_a 2.6959
_cell_length_b 3.6306
_cell_length_c 7.8590
_cell_angle_alpha 90.00
_cell_angle_beta 90.00
_cell_angle_gamma 90.00
_symmetry_space_group_name_H-M 'I m m 2'
_symmetry_Int_Tables_number 44
loop_
_symmetry_equiv_pos_as_xyz
'x,y,z'
'-x,-y,z'
'-x,y,z'
'x,-y,z'
'x+1/2,y+1/2,z+1/2'
'-x+1/2,-y+1/2,z+1/2'
'-x+1/2,y+1/2,z+1/2'
'x+1/2,-y+1/2,z+1/2'
loop_
_atom_site_label
_atom_site_fract_x
_atom_site_fract_y
_atom_site_fract_z
Cr1 0.0000 0.0000 0.0000
Cu1 0.0000 0.0000 0.6695
Ir1 0.0000 0.0000 0.3421
# Distance to the lowest polymorph of the same formula = 0.000 eV per atom

[2]
# Cr3CuIr (GGA-PBE, relaxed)
data_Cr3CuIr
_chemical_formula_sum 'Cr3 Cu1 Ir1'
_cell_length_a 4.7110
_cell_length_b 4.7110
_cell_length_c 4.7110
_cell_angle_alpha 90.00
_cell_angle_beta 90.00
_cell_angle_gamma 90.00
_symmetry_space_group_name_H-M 'P m -3 m'
_symmetry_Int_Tables_number 221
_symmetry_space_group_name_Hall '-P 4 2 3'
loop_
_atom_site_label
_atom_site_fract_x
_atom_site_fract_y
_atom_site_fract_z
Cr1 0.0000 0.0000 0.5000
Cu1 0.5000 0.5000 0.5000
Ir1 0.0000 0.0000 0.0000
# Distance to the lowest polymorph of the same formula = 0.000 eV per atom

[3]
The following is a GGA-PBE calculation of an optimized crystal structure of CrCuIr2, from Alexandria via LeMat-Bulk.

Geometry as CIF:
```
data_CrCuIr2
_chemical_formula_sum 'Cr1 Cu1 Ir2'
_cell_length_a 2.6935
_cell_length_b 3.8012
_cell_length_c 5.2299
_cell_angle_alpha 90.00
_cell_angle_beta 90.00
_cell_angle_gamma 90.00
_symmetry_space_group_name_H-M 'P m m 2'
_symmetry_Int_Tables_number 25
loop_
_symmetry_equiv_pos_as_xyz
'x,y,z'
'-x,-y,z'
'-x,y,z'
'x,-y,z'
loop_
_atom_site_label
_atom_site_fract_x
_atom_site_fract_y
_atom_site_fract_z
Cr1 0.0000 0.0000 0.0000
Cu1 0.5000 0.5000 0.2466
Ir1 0.0000 0.0000 0.4794
Ir2 0.5000 0.5000 0.7601
```

[4]
The following is a GGA-PBE calculation of an optimized crystal structure of CrCuIr2, from Alexandria via LeMat-Bulk.

Geometry as CIF:
```
data_CrCuIr2
_chemical_formula_sum 'Cr2 Cu2 Ir4'
_cell_length_a 2.8864
_cell_length_b 4.2770
_cell_length_c 8.7184
_cell_angle_alpha 90.00
_cell_angle_beta 90.00
_cell_angle_gamma 90.00
_symmetry_space_group_name_H-M 'I m m 2'
_symmetry_Int_Tables_number 44
loop_
_symmetry_equiv_pos_as_xyz
'x,y,z'
'-x,-y,z'
'-x,y,z'
'x,-y,z'
'x+1/2,y+1/2,z+1/2'
'-x+1/2,-y+1/2,z+1/2'
'-x+1/2,y+1/2,z+1/2'
'x+1/2,-y+1/2,z+1/2'
loop_
_atom_site_label
_atom_site_fract_x
_atom_site_fract_y
_atom_site_fract_z
Cr1 0.0000 0.0000 0.0000
Cu1 0.0000 0.5000 0.7334
Ir1 0.0000 0.0000 0.4807
Ir2 0.0000 0.5000 0.2571
```

[5]
# CrCuIr (GGA-PBE, relaxed)
data_CrCuIr
_chemical_formula_sum 'Cr4 Cu4 Ir4'
_cell_length_a 2.7772
_cell_length_b 4.3875
_cell_length_c 13.0877
_cell_angle_alpha 90.00
_cell_angle_beta 90.00
_cell_angle_gamma 90.00
_symmetry_space_group_name_H-M 'F m m 2'
_symmetry_Int_Tables_number 42
_symmetry_space_group_name_Hall 'F 2 -2'
loop_
_atom_site_label
_atom_site_fract_x
_atom_site_fract_y
_atom_site_fract_z
Cr1 0.0000 0.0000 0.0000
Cu1 0.0000 0.0000 0.6636
Ir1 0.0000 0.0000 0.3399
# Distance to the lowest polymorph of the same formula = 0.259 eV per atom

[6]
The following is a GGA-PBE calculation of an optimized crystal structure of CrCuIr2, from Alexandria via LeMat-Bulk.

Geometry as CIF:
```
data_CrCuIr2
_chemical_formula_sum 'Cr4 Cu4 Ir8'
_cell_length_a 5.9815
_cell_length_b 5.9815
_cell_length_c 5.9815
_cell_angle_alpha 90.00
_cell_angle_beta 90.00
_cell_angle_gamma 90.00
_symmetry_space_group_name_H-M 'F m -3 m'
_symmetry_Int_Tables_number 225
_symmetry_space_group_name_Hall '-F 4 2 3'
loop_
_atom_site_label
_atom_site_fract_x
_atom_site_fract_y
_atom_site_fract_z
Cr1 0.0000 0.0000 0.0000
Cu1 0.0000 0.0000 0.5000
Ir1 0.2500 0.2500 0.2500
```

Which calculated formation energy belongs to each record? In order, -7 1330 22 154 252 46 meV per atom.